SrBeNiGe: optimized geometry, PBE.

Geometry as CIF:
```
data_SrBeNiGe
_chemical_formula_sum 'Sr4 Be4 Ni4 Ge4'
_symmetry_space_group_name_H-M 'F -4 3 m'
_symmetry_Int_Tables_number 216
_symmetry_space_group_name_Hall 'F -4 2 3'
_cell_length_a 6.636
_cell_length_b 6.636
_cell_length_c 6.636
_cell_angle_alpha 90.00
_cell_angle_beta 90.00
_cell_angle_gamma 90.00
loop_
_atom_site_label
_atom_site_type_symbol
_atom_site_fract_x
_atom_site_fract_y
_atom_site_fract_z
Sr1 Sr 0.000 0.000 0.000
Be1 Be 0.000 0.000 0.500
Ni1 Ni 0.250 0.250 0.750
Ge1 Ge 0.250 0.250 0.250
```

Results
For the excess energy over the best structure of this formula in the dataset, the calculation gives 116 meV/atom.